# PBE Sm2HoHg6, optimized geometry
# Crystal system = monoclinic
# Electronic total energy = -2.1632 eV/atom
data_Sm2HoHg6
_chemical_formula_sum 'Sm8 Ho4 Hg24'
_symmetry_space_group_name_H-M 'C 1 2/c 1'
_symmetry_Int_Tables_number 15
_symmetry_space_group_name_Hall '-C 2yc'
_cell_length_a 14.531
_cell_length_b 11.821
_cell_length_c 5.473
_cell_angle_alpha 90.00
_cell_angle_beta 100.00
_cell_angle_gamma 90.00
loop_
_atom_site_label
_atom_site_type_symbol
_atom_site_fract_x
_atom_site_fract_y
_atom_site_fract_z
Sm1 Sm 0.167 0.126 0.083
Ho1 Ho 0.000 0.376 0.250
Hg1 Hg 0.056 0.128 0.529
Hg2 Hg 0.109 0.377 0.804
Hg3 Hg 0.219 0.376 0.362

# PBE Sm3HoHg7, optimized geometry
# Crystal system = orthorhombic
# Electronic total energy = -2.2077 eV/atom
data_Sm3HoHg7
_chemical_formula_sum 'Sm12 Ho4 Hg28'
_symmetry_space_group_name_H-M 'C m c m'
_symmetry_Int_Tables_number 63
_symmetry_space_group_name_Hall '-C 2c 2'
_cell_length_a 3.547
_cell_length_b 21.457
_cell_length_c 15.628
_cell_angle_alpha 90.00
_cell_angle_beta 90.00
_cell_angle_gamma 90.00
loop_
_atom_site_label
_atom_site_type_symbol
_atom_site_fract_x
_atom_site_fract_y
_atom_site_fract_z
Sm1 Sm 0.000 0.117 0.017
Sm2 Sm 0.000 0.237 0.750
Ho1 Ho 0.000 0.016 0.750
Hg1 Hg 0.000 0.254 0.080
Hg2 Hg 0.000 0.377 0.157
Hg3 Hg 0.000 0.386 0.750
Hg4 Hg 0.000 0.494 0.592

# PBE SmHo5Hg2, optimized geometry
# Crystal system = orthorhombic
# Electronic total energy = -3.6934 eV/atom
data_SmHo5Hg2
_chemical_formula_sum 'Sm2 Ho10 Hg4'
_symmetry_space_group_name_H-M 'I m m m'
_symmetry_Int_Tables_number 71
_symmetry_space_group_name_Hall '-I 2 2'
_cell_length_a 3.720
_cell_length_b 10.150
_cell_length_c 12.334
_cell_angle_alpha 90.00
_cell_angle_beta 90.00
_cell_angle_gamma 90.00
loop_
_atom_site_label
_atom_site_type_symbol
_atom_site_fract_x
_atom_site_fract_y
_atom_site_fract_z
Sm1 Sm 0.000 0.000 0.000
Ho1 Ho 0.000 0.224 0.363
Ho2 Ho 0.000 0.500 0.000
Hg1 Hg 0.000 0.500 0.262

# PBE Sm3Ho2Hg3, optimized geometry
# Crystal system = orthorhombic
# Electronic total energy = -3.3824 eV/atom
data_Sm3Ho2Hg3
_chemical_formula_sum 'Sm6 Ho4 Hg6'
_symmetry_space_group_name_H-M 'I m m m'
_symmetry_Int_Tables_number 71
_symmetry_space_group_name_Hall '-I 2 2'
_cell_length_a 3.750
_cell_length_b 5.408
_cell_length_c 22.291
_cell_angle_alpha 90.00
_cell_angle_beta 90.00
_cell_angle_gamma 90.00
loop_
_atom_site_label
_atom_site_type_symbol
_atom_site_fract_x
_atom_site_fract_y
_atom_site_fract_z
Sm1 Sm 0.000 0.000 0.000
Sm2 Sm 0.000 0.500 0.122
Ho1 Ho 0.000 0.000 0.233
Hg1 Hg 0.000 0.000 0.500
Hg2 Hg 0.000 0.500 0.378

# PBE Sm2Ho8Hg, optimized geometry
# Crystal system = monoclinic
# Electronic total energy = -4.2045 eV/atom
data_Sm2Ho8Hg
_chemical_formula_sum 'Sm4 Ho16 Hg2'
_symmetry_space_group_name_H-M 'C 1 2/m 1'
_symmetry_Int_Tables_number 12
_symmetry_space_group_name_Hall '-C 2y'
_cell_length_a 18.697
_cell_length_b 5.451
_cell_length_c 7.433
_cell_angle_alpha 90.00
_cell_angle_beta 113.35
_cell_angle_gamma 90.00
loop_
_atom_site_label
_atom_site_type_symbol
_atom_site_fract_x
_atom_site_fract_y
_atom_site_fract_z
Sm1 Sm 0.192 0.000 0.192
Ho1 Ho 0.000 0.000 0.246
Ho2 Ho 0.134 0.500 0.898
Ho3 Ho 0.135 0.500 0.372
Ho4 Ho 0.184 0.000 0.685
Hg1 Hg 0.000 0.500 0.500

# PBE Sm8HoHg2, optimized geometry
# Crystal system = monoclinic
# Electronic total energy = -3.9593 eV/atom
data_Sm8HoHg2
_chemical_formula_sum 'Sm16 Ho2 Hg4'
_symmetry_space_group_name_H-M 'C 1 2/m 1'
_symmetry_Int_Tables_number 12
_symmetry_space_group_name_Hall '-C 2y'
_cell_length_a 8.885
_cell_length_b 15.203
_cell_length_c 5.667
_cell_angle_alpha 90.00
_cell_angle_beta 111.37
_cell_angle_gamma 90.00
loop_
_atom_site_label
_atom_site_type_symbol
_atom_site_fract_x
_atom_site_fract_y
_atom_site_fract_z
Sm1 Sm 0.000 0.224 0.000
Sm2 Sm 0.100 0.500 0.800
Sm3 Sm 0.205 0.113 0.605
Ho1 Ho 0.000 0.000 0.000
Hg1 Hg 0.000 0.306 0.500

# PBE Sm3Ho2Hg6, optimized geometry
# Crystal system = tetragonal
# Electronic total energy = -2.3927 eV/atom
data_Sm3Ho2Hg6
_chemical_formula_sum 'Sm6 Ho4 Hg12'
_symmetry_space_group_name_H-M 'I 4/m m m'
_symmetry_Int_Tables_number 139
_symmetry_space_group_name_Hall '-I 4 2'
_cell_length_a 5.140
_cell_length_b 5.140
_cell_length_c 26.635
_cell_angle_alpha 90.00
_cell_angle_beta 90.00
_cell_angle_gamma 90.00
loop_
_atom_site_label
_atom_site_type_symbol
_atom_site_fract_x
_atom_site_fract_y
_atom_site_fract_z
Sm1 Sm 0.000 0.000 0.000
Sm2 Sm 0.000 0.000 0.145
Ho1 Ho 0.000 0.000 0.377
Hg1 Hg 0.000 0.000 0.263
Hg2 Hg 0.000 0.500 0.066

# PBE SmHoHg4, optimized geometry
# Crystal system = orthorhombic
# Excess energy over the best structure of this formula in the dataset = 173 meV per atom
data_SmHoHg4
_chemical_formula_sum 'Sm1 Ho1 Hg4'
_symmetry_space_group_name_H-M 'P m m m'
_symmetry_Int_Tables_number 47
_symmetry_space_group_name_Hall '-P 2 2'
_cell_length_a 4.522
_cell_length_b 4.535
_cell_length_c 8.596
_cell_angle_alpha 90.00
_cell_angle_beta 90.00
_cell_angle_gamma 90.00
loop_
_atom_site_label
_atom_site_type_symbol
_atom_site_fract_x
_atom_site_fract_y
_atom_site_fract_z
Sm1 Sm 0.000 0.000 0.000
Ho1 Ho 0.500 0.500 0.500
Hg1 Hg 0.000 0.500 0.257
Hg2 Hg 0.500 0.000 0.258